Entry 1:
The following is a DFT calculation (PBE-GGA) of a relaxed structure of Pr6Ge2PbBr3.

Values from the calculation:
Total energy = -59.48 eV per formula unit

```
Pr6Ge2PbBr3
1.0
9.693 -2.207 0.000
9.693 2.207 0.000
-2.008 0.000 8.685
Pr Ge Pb Br
6 2 1 3
Direct
0.013 0.013 0.255 Pr
0.325 0.325 0.431 Pr
0.332 0.332 0.881 Pr
0.668 0.668 0.119 Pr
0.675 0.675 0.569 Pr
0.987 0.987 0.745 Pr
0.168 0.168 0.339 Ge
0.832 0.832 0.661 Ge
0.500 0.500 0.000 Pb
0.165 0.165 0.835 Br
0.500 0.500 0.500 Br
0.835 0.835 0.165 Br
```

=====

Entry 2:
The following is a DFT calculation (PBE-GGA) of a relaxed structure of Rb4Ge3PbBr12.

Values from the calculation:
Total energy = -63.35 eV per formula unit

```
Rb4Ge3PbBr12
1.0
-5.668 5.668 5.668
5.668 -5.668 5.668
5.668 5.668 -5.668
Rb Ge Pb Br
4 3 1 12
Direct
0.000 0.000 0.500 Rb
0.000 0.500 0.000 Rb
0.500 0.000 0.000 Rb
0.500 0.500 0.500 Rb
0.000 0.500 0.500 Ge
0.500 0.000 0.500 Ge
0.500 0.500 0.000 Ge
0.000 0.000 0.000 Pb
0.000 0.260 0.260 Br
0.000 0.740 0.740 Br
0.250 0.500 0.750 Br
0.250 0.750 0.500 Br
0.260 0.000 0.260 Br
0.260 0.260 0.000 Br
0.500 0.250 0.750 Br
0.500 0.750 0.250 Br
0.740 0.000 0.740 Br
0.740 0.740 0.000 Br
0.750 0.250 0.500 Br
0.750 0.500 0.250 Br
```

=====

Entry 3:
The following is a DFT calculation (PBE-GGA) of a relaxed structure of RbGePb2Br8.

Values from the calculation:
Total energy = -36.59 eV per formula unit

```
RbGePb2Br8
1.0
6.830 0.000 0.000
0.205 7.108 0.000
0.009 0.006 9.238
Rb Ge Pb Br
1 1 2 8
Direct
0.000 0.000 0.000 Rb
0.000 0.000 0.500 Ge
0.500 0.500 0.257 Pb
0.500 0.500 0.743 Pb
0.231 0.842 0.299 Br
0.231 0.842 0.701 Br
0.232 0.309 0.500 Br
0.270 0.379 0.000 Br
0.730 0.621 0.000 Br
0.768 0.691 0.500 Br
0.769 0.158 0.299 Br
0.769 0.158 0.701 Br
```

=====

Entry 4:
The following is a DFT calculation (PBE-GGA) of a relaxed structure of Rb2GePbBr.

Values from the calculation:
Total energy = -13.86 eV per formula unit

```
Rb2GePbBr
1.0
6.919 0.000 0.000
0.000 6.919 0.000
0.000 0.000 5.243
Rb Ge Pb Br
2 1 1 1
Direct
0.000 0.500 0.000 Rb
0.500 0.000 0.000 Rb
0.000 0.000 0.000 Ge
0.000 0.000 0.500 Pb
0.500 0.500 0.500 Br
```

=====

Entry 5:
The following is a DFT calculation (PBE-GGA) of a relaxed structure of Rb3Ge2PbBr9.

Values from the calculation:
Total energy = -47.58 eV per formula unit

```
Rb3Ge2PbBr9
1.0
8.017 0.000 0.000
-4.009 6.943 0.000
0.000 0.000 10.000
Rb Ge Pb Br
3 2 1 9
Direct
0.000 0.000 0.000 Rb
0.333 0.667 0.701 Rb
0.667 0.333 0.299 Rb
0.333 0.667 0.161 Ge
0.667 0.333 0.839 Ge
0.000 0.000 0.500 Pb
0.000 0.500 0.000 Br
0.171 0.342 0.320 Br
0.171 0.829 0.320 Br
0.342 0.171 0.680 Br
0.500 0.000 0.000 Br
0.500 0.500 0.000 Br
0.658 0.829 0.320 Br
0.829 0.171 0.680 Br
0.829 0.658 0.680 Br
```

=====

Entry 6:
The following is a DFT calculation (PBE-GGA) of a relaxed structure of ReGe2PbBr.

Values from the calculation:
Total energy = -24.50 eV per formula unit

```
ReGe2PbBr
1.0
4.796 0.000 0.000
0.000 4.796 0.000
0.000 0.000 5.668
Re Ge Pb Br
1 2 1 1
Direct
0.000 0.000 0.000 Re
0.000 0.500 0.000 Ge
0.500 0.000 0.000 Ge
0.500 0.500 0.500 Pb
0.000 0.000 0.500 Br
```